CaSi PBE relaxed; ΔE_f (raw) = -0.38 eV/atom; ρ = 2.56 g cm⁻³
1.0
6.569 0.000 0.000
0.000 8.323 0.000
0.000 0.000 3.234
Ca Si
4 4
Direct
0.000 0.211 0.000
0.000 0.789 0.000
0.500 0.289 0.000
0.500 0.711 0.000
0.186 0.500 0.500
0.314 0.000 0.500
0.686 0.000 0.500
0.814 0.500 0.500

---

NdDyAgSn PBE relaxed; ρ = 8.33 g cm⁻³; ΔH_f (0 K) = -197 kJ/mol of formula units
1.0
7.521 0.000 0.000
0.000 7.521 0.000
0.000 0.000 7.521
Nd Dy Ag Sn
4 4 4 4
Direct
0.000 0.000 0.000
0.000 0.500 0.500
0.500 0.000 0.500
0.500 0.500 0.000
0.000 0.000 0.500
0.000 0.500 0.000
0.500 0.000 0.000
0.500 0.500 0.500
0.250 0.250 0.750
0.250 0.750 0.250
0.750 0.250 0.250
0.750 0.750 0.750
0.250 0.250 0.250
0.250 0.750 0.750
0.750 0.250 0.750
0.750 0.750 0.250

---

BPd3 PBE relaxed; ρ = 9.35 g cm⁻³; ΔH_f (0 K) = 89 kJ/mol of formula units
1.0
3.789 0.000 0.000
0.000 3.789 0.000
0.000 0.000 4.083
B Pd
1 3
Direct
0.000 0.000 0.000
0.000 0.500 0.242
0.500 0.000 0.242
0.500 0.500 0.739

---

K5PS4Cl2 PBE relaxed; ΔE_f (raw) = -1.28 eV/atom; ρ = 1.84 g cm⁻³
1.0
9.353 0.000 0.000
0.000 5.421 3.782
0.000 -5.421 3.782
K P S Cl
5 1 4 2
Direct
0.000 0.000 0.000
0.263 0.298 0.694
0.263 0.694 0.298
0.737 0.298 0.694
0.737 0.694 0.298
0.500 0.972 0.972
0.320 0.131 0.131
0.500 0.656 0.960
0.500 0.960 0.656
0.680 0.131 0.131
0.000 0.518 0.978
0.000 0.978 0.518

---

MgAgRhCl6 PBE relaxed; ΔE_f (raw) = -0.97 eV/atom; ρ = 3.62 g cm⁻³
1.0
6.285 0.000 0.000
-3.143 5.443 0.000
0.000 0.000 11.997
Mg Ag Rh Cl
2 2 2 12
Direct
0.333 0.667 0.250
0.667 0.333 0.750
0.000 0.000 0.000
0.000 0.000 0.500
0.333 0.667 0.750
0.667 0.333 0.250
0.017 0.367 0.636
0.017 0.650 0.864
0.350 0.367 0.864
0.350 0.983 0.636
0.367 0.017 0.136
0.367 0.350 0.364
0.633 0.650 0.636
0.633 0.983 0.864
0.650 0.017 0.364
0.650 0.633 0.136
0.983 0.350 0.136
0.983 0.633 0.364

---

CsIn3Ge PBE relaxed; ρ = 5.37 g cm⁻³; relative energy among the computed polymorphs = 0.00 eV/f.u.; ΔH_f (0 K) = 2 kJ/mol of formula units
1.0
7.654 0.000 0.000
3.798 6.648 0.000
3.769 2.168 6.690
Cs In Ge
2 6 2
Direct
0.188 0.187 0.441
0.812 0.813 0.559
0.163 0.633 0.870
0.332 0.165 0.871
0.367 0.669 0.128
0.633 0.331 0.872
0.668 0.835 0.129
0.837 0.367 0.130
0.000 0.000 0.000
0.500 0.500 0.500

---

CaIn6Pd3 PBE relaxed; ρ = 7.74 g cm⁻³; ΔH_f (0 K) = -419 kJ/mol of formula units
1.0
9.594 0.000 0.000
0.000 4.474 0.000
-0.845 0.000 10.475
Ca In Pd
2 12 6
Direct
0.101 0.250 0.253
0.899 0.750 0.747
0.084 0.250 0.930
0.121 0.750 0.502
0.264 0.750 0.789
0.343 0.750 0.299
0.358 0.250 0.551
0.412 0.250 0.077
0.588 0.750 0.923
0.642 0.750 0.449
0.657 0.250 0.701
0.736 0.250 0.211
0.879 0.250 0.498
0.916 0.750 0.070
0.116 0.250 0.671
0.223 0.750 0.049
0.499 0.750 0.662
0.501 0.250 0.338
0.777 0.250 0.951
0.884 0.750 0.329

---

SrLi2Os PBE relaxed; ρ = 6.23 g cm⁻³; relative energy among the computed polymorphs = 0.01 eV/f.u.; ΔH_f (0 K) = 192 kJ/mol of formula units
1.0
9.764 0.000 0.000
0.000 2.800 0.000
-0.513 0.000 5.687
Sr Li Os
2 4 2
Direct
0.000 0.000 0.000
0.500 0.500 0.000
0.235 0.000 0.677
0.265 0.500 0.323
0.735 0.500 0.677
0.765 0.000 0.323
0.000 0.500 0.500
0.500 0.000 0.500

---

Question: Among the records above, which one has the highest ρ?
Answer: BPd3